Computed, not measured: ZrAu2Se after structural relaxation at the GGA-PBEsol level of DFT.

For the energy, the calculation gives -22.2 eV per formula unit. The value obtained for the density is 12.010 g/cm³.

The space group is Cmmm (No. 65) and the conventional cell measures 5.251, 7.965 and 3.729 Å, with angles of 90.00, 90.00 and 90.00 degrees. The inequivalent atoms are Zr at (0.000, 0.000, 0.000), Au at (0.250, 0.250, 0.500) and Se at (0.000, 0.500, 0.000).

=====

Computed, not measured: CrIr2 after structural relaxation at the GGA-PBEsol level of DFT.

For the energy, the calculation gives -30.4 eV per formula unit. The calculation puts the calculated formation energy at -0.5 eV/f.u. The value obtained for the density is 18.326 g/cm³.

The space group is Cmcm (No. 63) and the conventional cell measures 3.731, 11.237 and 3.773 Å, with angles of 90.00, 90.00 and 90.00 degrees. The inequivalent atoms are Cr at (0.000, 0.083, 0.250), Ir at (0.000, 0.251, 0.750) and Ir at (0.000, 0.420, 0.250).

=====

Computed, not measured: PrP5 after structural relaxation at the GGA-PBEsol level of DFT.

For the energy, the calculation gives -37.3 eV per formula unit. The calculation puts the calculated formation energy at -3.2 eV/f.u. The value obtained for the density is 3.964 g/cm³.

The space group is P2_1/m (No. 11) and the conventional cell measures 4.904, 9.548 and 5.454 Å, with angles of 90.00, 103.98 and 90.00 degrees. The inequivalent atoms are Pr at (0.026, 0.250, 0.358), P at (0.279, 0.250, 0.911), P at (0.289, 0.536, 0.398) and P at (0.382, 0.591, 0.041).

=====

Computed, not measured: MoAs2Se after structural relaxation at the GGA-PBEsol level of DFT.

For the energy, the calculation gives -24.1 eV per formula unit. The value obtained for the density is 8.087 g/cm³.

The space group is Cmmm (No. 65) and the conventional cell measures 5.570, 7.510 and 3.188 Å, with angles of 90.00, 90.00 and 90.00 degrees. The inequivalent atoms are Mo at (0.000, 0.000, 0.000), As at (0.250, 0.250, 0.500) and Se at (0.000, 0.500, 0.000).

=====

Computed, not measured: CrRh after structural relaxation at the GGA-PBEsol level of DFT.

For the energy, the calculation gives -17.9 eV per formula unit. The calculation puts the calculated formation energy at 0.5 eV/f.u. The value obtained for the density is 10.201 g/cm³.

The space group is Fd-3m (No. 227, origin choice 2) and the conventional cell measures 5.865, 5.865 and 5.865 Å, with angles of 90.00, 90.00 and 90.00 degrees. The inequivalent atoms are Cr at (0.125, 0.125, 0.125) and Rh at (0.125, 0.125, 0.625).

=====

Computed, not measured: Na3LiSn after structural relaxation at the GGA-PBEsol level of DFT.

For the energy, the calculation gives -8.8 eV per formula unit. As for the energy above the lowest structure with this stoichiometry: 150 meV/atom. The calculation puts the calculated formation energy at 1.6 eV/f.u. The value obtained for the density is 2.157 g/cm³.

The space group is Pm-3m (No. 221) and the conventional cell measures 5.311, 5.311 and 5.311 Å, with angles of 90.00, 90.00 and 90.00 degrees. The inequivalent atoms are Na at (0.000, 0.000, 0.500), Li at (0.000, 0.000, 0.000) and Sn at (0.500, 0.500, 0.500).